{"formula": "LaBe2HCl", "functional": "GGA-PBE", "state": "relaxed", "lattice_angstrom": [[5.959, 0.000, 0.000], [0.000, 5.536, 0.000], [0.000, 0.000, 5.959]], "species": ["Be", "Be", "La", "Cl", "H"], "fractional_positions": [[0.000, 0.000, 0.500], [0.500, 0.000, 0.000], [0.000, 0.000, 0.000], [0.000, 0.500, 0.000], [0.500, 0.500, 0.500]], "energy_ry_per_atom": -0.1763, "dos_ef_per_ev_atom": 0.8412, "spacegroup": "P4/mmm (123)"}

{"formula": "LaBe2HCl", "functional": "GGA-PBE", "state": "relaxed", "lattice_angstrom": [[-1.540, -2.789, 2.283], [2.758, -3.582, -2.514], [2.936, 0.469, 2.554]], "species": ["Cl", "Be", "Be", "H", "La"], "fractional_positions": [[0.500, 0.500, 0.500], [0.000, 0.000, 0.500], [0.500, 0.000, 0.000], [0.000, 0.000, 0.000], [0.000, 0.500, 0.000]], "energy_ry_per_atom": -0.2533, "dos_ef_per_ev_atom": 0.6148, "spacegroup": "P4/mmm (123)"}

{"formula": "BeH2Cl2O", "functional": "GGA-PBE", "state": "relaxed", "lattice_angstrom": [[-1.401, 4.141, -1.435], [-2.615, 1.215, 6.060], [7.120, 2.044, -1.053]], "species": ["Cl", "Cl", "Cl", "Cl", "O", "O", "Be", "Be", "H", "H", "H", "H"], "fractional_positions": [[0.674, 0.378, 0.251], [0.674, 0.127, 0.749], [0.174, 0.622, 0.749], [0.174, 0.873, 0.251], [0.694, 0.883, 0.000], [0.194, 0.117, 0.000], [0.325, 0.854, 0.000], [0.825, 0.146, 0.000], [0.803, 0.761, 0.881], [0.803, 0.880, 0.119], [0.303, 0.120, 0.881], [0.303, 0.239, 0.119]], "energy_ry_per_atom": -0.3243, "dos_ef_per_ev_atom": 0.0000, "spacegroup": "Cmc2_1 (36)"}

{"formula": "Be2PHCl", "functional": "GGA-PBE", "state": "relaxed", "lattice_angstrom": [[4.280, 0.000, 0.000], [0.000, 3.171, 0.000], [0.000, 0.000, 4.280]], "species": ["Be", "Be", "P", "H", "Cl"], "fractional_positions": [[0.500, 0.000, 0.000], [0.000, 0.000, 0.500], [0.500, 0.500, 0.500], [0.000, 0.500, 0.000], [0.000, 0.000, 0.000]], "energy_ry_per_atom": -0.2109, "dos_ef_per_ev_atom": 0.4104, "spacegroup": "P4/mmm (123)"}

{"formula": "BePHCl2", "functional": "GGA-PBE", "state": "relaxed", "lattice_angstrom": [[4.812, 0.000, 0.000], [0.000, 4.812, 0.000], [0.000, 0.000, 3.260]], "species": ["Cl", "Cl", "P", "H", "Be"], "fractional_positions": [[0.500, 0.000, 0.000], [0.000, 0.500, 0.000], [0.000, 0.000, 0.500], [0.000, 0.000, 0.000], [0.500, 0.500, 0.500]], "energy_ry_per_atom": -0.1829, "dos_ef_per_ev_atom": 0.4716, "spacegroup": "P4/mmm (123)"}

{"formula": "BeP2HCl", "functional": "GGA-PBE", "state": "relaxed", "lattice_angstrom": [[4.185, 0.000, 0.000], [0.000, 4.185, 0.000], [0.000, 0.000, 4.921]], "species": ["Cl", "H", "P", "P", "Be"], "fractional_positions": [[0.000, 0.000, 0.500], [0.500, 0.500, 0.500], [0.500, 0.000, 0.000], [0.000, 0.500, 0.000], [0.000, 0.000, 0.000]], "energy_ry_per_atom": -0.2208, "dos_ef_per_ev_atom": 0.7649, "spacegroup": "P4/mmm (123)"}